10
Lattice="-4.940 4.940 3.226 4.940 -4.940 3.226 4.940 4.940 -3.226" Properties=species:S:1:pos:R:3 comment="Nd5Bi4C, optimized geometry, DFT PBE" volume_a3_per_cell=314.9 delta_e_f_ev_per_atom=-0.629 m_tot_mub_per_cell=0.0 rho_g_cm3=8.275 dft_energy_ev_per_atom=-5.4875 pbc="T T T"
Nd 0.000 0.000 0.000
Nd 5.872 2.451 0.400
Nd 2.451 4.007 0.400
Nd 2.489 0.932 3.626
Nd -0.932 2.489 3.626
Bi 3.080 0.813 0.423
Bi 4.127 -1.859 3.649
Bi 0.813 6.799 0.423
Bi 1.859 4.127 3.649
C 0.000 0.000 3.984